Entry from the Alexandria database: a geometry-optimized IrOsAu2 structure (PBE).

Unit cell a=2.7625 b=4.8165 c=9.9786 alpha=90.00 beta=90.00 gamma=90.00
Last column: nearest neighbours and their distance in Å.
Space group Cmm2 (No. 35)
Symmetry-distinct sites (fractional):
Ir 0.0000 0.0000 0.0000 (multiplicity 2)  2 Os 2.59, 6 Ir 2.76-2.78
Os 0.0000 0.5000 0.2198 (multiplicity 2)  2 Ir 2.59, 6 Os 2.76-2.78
Au 0.0000 0.0000 0.4758 (multiplicity 2)  8 Au 2.76-3.01, 2 Os 2.90
Au 0.0000 0.5000 0.7435 (multiplicity 2)  8 Au 2.76-3.01, 2 Ir 2.91

Summary:
Magnetic moment: 0.000 μB/atom
Energy of formation: 0.43 eV/atom